Material: Ce2Be2GaRu5
Method: DFT, GGA-PBE
State: optimized geometry

- Energy of formation from the pure elements: -3.82 eV per formula unit
- SG: P4/mbm (127)
- Total DFT energy (no corrections): -0.5332 Ry/atom

Cell: 3.2676 9.6018 9.6018 Å, 90.00 90.00 90.00°
Last column: nearest neighbours and their distance in Å.
Fractional coordinates of all 20 atoms:
Be1 0.0000 0.1227 0.6227  6 Ru 2.33-2.34
Ce1 0.0000 0.6760 0.1760  3 Be 2.73-2.91, 6 Ru 2.89-2.92
Be2 0.0000 0.8773 0.3773  6 Ru 2.33-2.34
Ru1 0.5000 0.9262 0.2094  2 Be 2.34
Ga1 0.0000 0.0000 0.0000  8 Ru 2.69
Be3 0.0000 0.6227 0.8773  6 Ru 2.33-2.34
Ce2 0.0000 0.1760 0.3240  3 Be 2.73-2.91, 6 Ru 2.89-2.92
Ru2 0.5000 0.7906 0.9262  2 Be 2.34
Ru3 0.5000 0.7094 0.4262  2 Be 2.34
Ga2 0.0000 0.5000 0.5000  8 Ru 2.69
Ru4 0.5000 0.4262 0.2906  2 Be 2.34
Ce3 0.0000 0.3240 0.8240  3 Be 2.73-2.91, 6 Ru 2.89-2.92
Ru5 0.5000 0.2094 0.0738  2 Be 2.34
Ru6 0.5000 0.5000 0.0000  4 Be 2.33
Ru7 0.5000 0.2906 0.5738  2 Be 2.34
Be4 0.0000 0.3773 0.1227  6 Ru 2.33-2.34
Ru8 0.5000 0.5738 0.7094  2 Be 2.34
Ce4 0.0000 0.8240 0.6760  3 Be 2.73-2.91, 6 Ru 2.89-2.92
Ru9 0.5000 0.0738 0.7906  2 Be 2.34
Ru10 0.5000 0.0000 0.5000  4 Be 2.33